# TlMoSeF2 PBE with a Hubbard U relaxed
# volume = 103.5 Å³/cell
# final energy = -23.73 eV for the cell shown
data_TlMoSeF2
_chemical_formula_sum 'Tl1 Mo1 Se1 F2'
_cell_length_a 4.371
_cell_length_b 4.371
_cell_length_c 5.418
_cell_angle_alpha 90.00
_cell_angle_beta 90.00
_cell_angle_gamma 90.00
_symmetry_space_group_name_H-M 'P 4/m m m'
_symmetry_Int_Tables_number 123
_symmetry_space_group_name_Hall '-P 4 2'
loop_
_atom_site_label
_atom_site_type_symbol
_atom_site_fract_x
_atom_site_fract_y
_atom_site_fract_z
Tl1 Tl 0.000 0.000 0.000
Mo1 Mo 0.500 0.500 0.500
Se1 Se 0.500 0.500 0.000
F1 F 0.000 0.500 0.500